Computed, not measured: CoCNF2 after structural relaxation at the PBE+U level of DFT.

a b c (Å): 3.950 3.950 3.579
angles (deg): 90.00 90.00 90.00
Fractional coordinates of all 5 atoms:
Co  0.000  0.000  0.000
C  0.500  0.500  0.500
N  0.000  0.000  0.500
F  0.000  0.500  0.000
F  0.500  0.000  0.000

## Properties
The calculation puts the total magnetic moment at 2.93 μB/f.u. As for the distance to the lowest polymorph of the same formula: 25.49 kcal/mol of atoms. As for the space-group type: No. 123. For the density, the calculation gives 3657 kg/m³.